! LaCoPt2 meta-GGA SCAN PBEsol geometry; values from VASP
&SYSTEM
  ibrav = 0, nat = 4, ntyp = 3
/
ATOMIC_SPECIES
Co 58.93 Co.upf
Pt 195.08 Pt.upf
La 138.91 La.upf
ATOMIC_POSITIONS angstrom
Co -2.7239 -0.7117 0.6223
Pt -1.1834 0.8908 2.5187
Pt -2.0588 2.0730 0.0388
La 0.0000 0.0000 0.0000
CELL_PARAMETERS angstrom
-3.5994 0.4705 -1.8576
-1.8485 -1.8939 3.1021
2.2056 4.3873 1.3129
! E_form (meV/atom): -449
! D(E_F) (states/eV per atom): 0.478
! Magnetic moment (Bohr magnetons per cell): 1.86
! Crystal system: tetragonal